[1]
PBE Ca2Ga5PtRh2, relaxed; energy relative to the elements = -0.531 eV per atom
1.0
10.021 0.000 0.000
0.000 10.021 0.000
0.000 0.000 3.638
Ca Ga Pt Rh
4 10 2 4
direct
0.182 0.318 0.000
0.318 0.818 0.000
0.682 0.182 0.000
0.818 0.682 0.000
0.000 0.500 0.500
0.054 0.806 0.500
0.194 0.054 0.500
0.306 0.554 0.500
0.446 0.306 0.500
0.500 0.000 0.500
0.554 0.694 0.500
0.694 0.446 0.500
0.806 0.946 0.500
0.946 0.194 0.500
0.000 0.000 0.000
0.500 0.500 0.000
0.118 0.618 0.000
0.382 0.118 0.000
0.618 0.882 0.000
0.882 0.382 0.000

=====

[2]
PBE MnTc2Br, relaxed; E_form (uncorrected) = 938.2 meV per atom; E above lowest polymorph = 638 meV per atom
1.0
-2.077 2.077 3.618
2.077 -2.077 3.618
2.077 2.077 -3.618
Mn Tc Br
1 2 1
direct
0.000 0.000 0.000
0.250 0.750 0.500
0.500 0.500 0.000
0.750 0.250 0.500

=====

DFT total energy for every record listed, in sequence, given in eV per atom: -4.519; -6.955.
M_tot for every record listed, in sequence, given in μB/f.u.: 0.0; 3.8.